Density functional theory data (PBE-GGA) for a relaxed structure of Tb2InPb3.

Summary:
formation energy	-0.411	eV per atom
total moment	0.0	Bohr magnetons per cell

```
data_Tb2InPb3
_symmetry_space_group_name_H-M 'C m m m'
_symmetry_Int_Tables_number 65
_symmetry_space_group_name_Hall '-C 2 2'
_cell_length_a 4.5793
_cell_length_b 15.5931
_cell_length_c 4.6981
_cell_angle_alpha 90.00
_cell_angle_beta 90.00
_cell_angle_gamma 90.00
loop_
_atom_site_label
_atom_site_type_symbol
_atom_site_fract_x
_atom_site_fract_y
_atom_site_fract_z
_atom_site_occupancy
Tb1 Tb 0.0000 0.1490 0.0000 1
In1 In 0.0000 0.0000 0.5000 1
Pb1 Pb 0.0000 0.3257 0.5000 1
Pb2 Pb 0.0000 0.5000 0.0000 1
```